Material: SmZnHgPt
Method: DFT, PBE
State: relaxed

VASP energy in eV per atom: -3.60
Energy relative to the elements in eV per formula unit: -2.06
Total magnetization in μB/cell: 0.00

a = 4.9072 Å, b = 4.9072 Å, c = 4.9072 Å
α = 60.00°, β = 60.00°, γ = 60.00°
Last column: nearest neighbours and their distance in Å.
Positions (direct):
1 Pt 0.2500 0.2500 0.2500  4 Sm 3.01, 4 Zn 3.01
2 Sm 0.0000 0.0000 0.0000  4 Pt 3.01, 4 Hg 3.01
3 Hg 0.7500 0.7500 0.7500  4 Sm 3.01, 4 Zn 3.01
4 Zn 0.5000 0.5000 0.5000  4 Hg 3.01, 4 Pt 3.01